This record from Alexandria describes a relaxed Li2CaHg crystal. The functional is PBE.

Results
DOS at the Fermi energy in states/eV/atom: 0.6650
Density in Mg/m³: 4.43
Calculated total energy in eV per cell: -14.615
Magnetization in Bohr magnetons per cell: 0.0
Calculated volume in Å³/f.u.: 95.4

Lattice parameters (Å, degrees): 4.7541 6.1223 6.5559 90.00 90.00 90.00
Space group Pmmn (No. 59, origin choice 2)
One atom of each set of equivalent atoms:
Li: 0.2500 0.0156 0.1134
Ca: 0.2500 0.2500 0.5870
Hg: 0.2500 0.7500 0.7588